# ZnAsP | Alexandria via LeMat-Bulk | PBE | optimized geometry
# Space group = Fmm2
# Energy of formation = 0.41 eV/atom
# Calculated total energy = -3.3719 eV per atom
data_ZnAsP
_symmetry_space_group_name_H-M 'P 1'
_symmetry_Int_Tables_number 1
_cell_length_a 6.1828
_cell_length_b 6.0316
_cell_length_c 3.0023
_cell_angle_alpha 78.59
_cell_angle_beta 72.99
_cell_angle_gamma 28.42
loop_
_symmetry_equiv_pos_as_xyz
'x,y,z'
loop_
_atom_site_label
_atom_site_type_symbol
_atom_site_fract_x
_atom_site_fract_y
_atom_site_fract_z
_atom_site_occupancy
Zn1 Zn 0.3242 0.3242 0.6758 1
As1 As 0.9996 0.9996 0.0004 1
P1 P 0.6762 0.6762 0.3238 1